# 1
## CeSi4Au12 (PBE-GGA)

Data for a relaxed structure of CeSi4Au12.

Results
formation energy from raw total energies = -0.064 eV/atom
magnetic moment = 0.883 μB/cell
space-group type = No. 204
Fermi-level density of states = 13.01 states/eV/cell
crystal system = cubic

```
17
Lattice="-0.183 -2.076 -7.386 1.446 -6.153 4.352 -6.780 3.000 1.983" Properties=species:S:1:pos:R:3 pbc="T T T"
Ce 0.000 0.000 0.000
Si 0.723 -3.077 2.176
Si -0.091 -1.038 -3.693
Si -2.758 -2.615 -0.526
Si -3.390 1.500 0.991
Au -0.870 -3.295 -4.367
Au -0.431 -3.299 -0.008
Au -4.398 -0.716 -4.060
Au -5.492 0.717 -0.067
Au -1.119 -4.514 3.009
Au -5.086 -1.931 -1.043
Au -2.158 -1.013 -2.321
Au -3.359 -4.217 1.270
Au -0.025 -5.947 -0.984
Au -2.586 -4.310 -2.329
Au -2.931 -0.921 1.278
Au -4.647 -1.936 3.316
```

# 2
## Ba3LaW (PBE-GGA)

Data for a relaxed structure of Ba3LaW.

Results
energy above the most stable polymorph in this dataset = 0.0 meV/atom
magnetic moment = 0.459 μB/cell
space-group type = No. 221
Fermi-level density of states = 9.64 states/eV/cell
energy relative to the elements = 517.7 kJ/mol of formula units
crystal system = cubic

```
5
Lattice="6.066 0.000 0.000 0.000 6.066 0.000 0.000 0.000 6.066" Properties=species:S:1:pos:R:3 pbc="T T T"
Ba 0.000 3.033 0.000
Ba 0.000 0.000 3.033
Ba 3.033 0.000 0.000
W 0.000 0.000 0.000
La 3.033 3.033 3.033
```

# 3
## TbCeZnPd (PBE-GGA)

Data for a relaxed structure of TbCeZnPd.

Results
magnetic moment = 0.698 μB/cell
space-group type = No. 216
Fermi-level density of states = 7.35 states/eV/cell
energy relative to the elements = -180.7 kJ/mol of formula units
crystal system = cubic

```
4
Lattice="-3.407 0.592 -3.707 -0.509 -3.566 -3.567 -4.156 -2.901 -0.110" Properties=species:S:1:pos:R:3 pbc="T T T"
Zn 0.000 0.000 0.000
Tb -6.054 -4.406 -5.539
Pd -4.036 -2.937 -3.692
Ce -2.018 -1.469 -1.846
```

# 4
## GeMoSe2I (PBE-GGA)

Data for a relaxed structure of GeMoSe2I.

Results
formation energy from raw total energies = 1.583 eV/atom
magnetic moment = 3.492 μB/cell
space-group type = No. 123
Fermi-level density of states = 4.41 states/eV/cell
crystal system = tetragonal

```
5
Lattice="5.342 0.000 0.000 0.000 5.489 0.000 0.000 0.000 5.342" Properties=species:S:1:pos:R:3 pbc="T T T"
I 0.000 0.000 0.000
Mo 2.671 2.745 2.671
Ge 0.000 2.745 0.000
Se 0.000 0.000 2.671
Se 2.671 0.000 0.000
```

Computed values of total energy (unit: eV per atom) for the preceding records, in sequence: -4.002, -3.657, -4.726, -3.211.